VASP calculation (GGA-PBE) on a relaxed structure of Mg2InPb8.

Calculated values
E_form = 0 kJ per mole of atoms
total moment = 0.0 Bohr magnetons per cell
Fermi-level density of states = 4.79 states/eV/cell
space group = C2/m

abc: 9.0784 9.0784 7.8709
angles: 106.40 106.40 31.52
Fractional positions:
Mg 0.2260 0.2260 0.1380
Mg 0.7740 0.7740 0.8620
In 0.5000 0.5000 0.5000
Pb 0.0438 0.0438 0.2304
Pb 0.1448 0.1448 0.7017
Pb 0.3191 0.3191 0.5850
Pb 0.3976 0.3976 0.0359
Pb 0.6024 0.6024 0.9641
Pb 0.6809 0.6809 0.4150
Pb 0.8552 0.8552 0.2983
Pb 0.9562 0.9562 0.7696

***

VASP calculation (GGA-PBE) on a relaxed structure of MgIn2Pb.

Calculated values
E_form = -1 kJ per mole of atoms
total moment = 0.0 Bohr magnetons per cell
Fermi-level density of states = 1.98 states/eV/cell
space group = P4/mmm

abc: 4.6602 4.6602 4.8786
angles: 90.00 90.00 90.00
Fractional positions:
Mg 0.0000 0.0000 0.0000
In 0.0000 0.5000 0.5000
In 0.5000 0.0000 0.5000
Pb 0.5000 0.5000 0.0000

***

VASP calculation (GGA-PBE) on a relaxed structure of Mg5InPb6.

Calculated values
E_form = -2 kJ per mole of atoms
total moment = 0.0 Bohr magnetons per cell
Fermi-level density of states = 5.37 states/eV/cell
space group = C2/m

abc: 9.2930 9.2930 5.3801
angles: 106.68 106.68 121.17
Fractional positions:
Mg 0.0000 0.0000 0.0000
Mg 0.1670 0.8330 0.5000
Mg 0.3383 0.6617 0.0000
Mg 0.6617 0.3383 0.0000
Mg 0.8330 0.1670 0.5000
In 0.5000 0.5000 0.5000
Pb 0.0727 0.4158 0.2439
Pb 0.2382 0.2382 0.7371
Pb 0.4158 0.0727 0.2439
Pb 0.5842 0.9273 0.7561
Pb 0.7618 0.7618 0.2629
Pb 0.9273 0.5842 0.7561

***

VASP calculation (GGA-PBE) on a relaxed structure of Mg4In4Pb.

Calculated values
E_form = -3 kJ per mole of atoms
total moment = 0.0 Bohr magnetons per cell
Fermi-level density of states = 3.31 states/eV/cell
space group = I4/m

abc: 7.1414 7.1414 7.1414
angles: 97.14 97.14 138.72
Fractional positions:
Mg 0.0003 0.3361 0.3364
Mg 0.9997 0.6639 0.6636
Mg 0.3361 0.9997 0.3359
Mg 0.6639 0.0003 0.6641
In 0.3278 0.6712 0.9991
In 0.3288 0.3278 0.6566
In 0.6712 0.6722 0.3434
In 0.6722 0.3288 0.0009
Pb 0.0000 0.0000 0.0000

***

VASP calculation (GGA-PBE) on a relaxed structure of Mg2InPb.

Calculated values
E_form = 16 kJ per mole of atoms
total moment = 0.0 Bohr magnetons per cell
Fermi-level density of states = 2.10 states/eV/cell
space group = Immm

abc: 6.8707 6.8707 6.8707
angles: 151.54 132.21 56.56
Fractional positions:
Mg 0.2477 0.2477 0.0000
Mg 0.7523 0.7523 0.0000
In 0.0000 0.0000 0.0000
Pb 0.5000 0.5000 0.0000

***

VASP calculation (GGA-PBE) on a relaxed structure of MgInPb.

Calculated values
E_form = 6 kJ per mole of atoms
total moment = 0.0 Bohr magnetons per cell
Fermi-level density of states = 2.67 states/eV/cell
space group = F-43m

abc: 4.9861 4.9861 4.9861
angles: 60.00 60.00 60.00
Fractional positions:
Mg 0.0000 0.0000 0.0000
In 0.7500 0.7500 0.7500
Pb 0.2500 0.2500 0.2500

***

VASP calculation (GGA-PBE) on a relaxed structure of Mg7InPb3.

Calculated values
E_form = 4 kJ per mole of atoms
total moment = 0.0 Bohr magnetons per cell
Fermi-level density of states = 3.72 states/eV/cell
space group = C2/m

abc: 7.7707 7.7707 5.7347
angles: 111.10 111.10 93.11
Fractional positions:
Mg 0.0000 0.0000 0.0000
Mg 0.0941 0.5726 0.3333
Mg 0.3191 0.3191 0.8214
Mg 0.4274 0.9059 0.6667
Mg 0.5726 0.0941 0.3333
Mg 0.6809 0.6809 0.1786
Mg 0.9059 0.4274 0.6667
In 0.0000 0.0000 0.5000
Pb 0.2674 0.7326 0.0000
Pb 0.5000 0.5000 0.5000
Pb 0.7326 0.2674 0.0000

***

VASP calculation (GGA-PBE) on a relaxed structure of MgInPb5.

Calculated values
E_form = 5 kJ per mole of atoms
total moment = 0.0 Bohr magnetons per cell
Fermi-level density of states = 6.84 states/eV/cell
space group = C2/c

abc: 8.8005 8.8005 6.3219
angles: 99.95 99.95 62.68
Fractional positions:
Mg 0.0000 0.5000 0.0000
Mg 0.5000 0.0000 0.5000
In 0.2486 0.7514 0.7500
In 0.7514 0.2486 0.2500
Pb 0.0572 0.1653 0.6914
Pb 0.1653 0.0572 0.1914
Pb 0.2202 0.4052 0.5098
Pb 0.3743 0.6257 0.2500
Pb 0.4052 0.2202 0.0098
Pb 0.5948 0.7798 0.9902
Pb 0.6257 0.3743 0.7500
Pb 0.7798 0.5948 0.4902
Pb 0.8347 0.9428 0.8086
Pb 0.9428 0.8347 0.3086